1.
Compound: ZnNiPd2
Source: OQMD
Functional: PBE
Structure: optimized geometry

## Properties
- total energy (eV per cell) = -17.868
- crystal system = cubic
- symmetry = No. 216

Cell: 4.2976 4.2976 4.2976 Å, 60.00 60.00 60.00°
Positions (direct):
Zn1 0.5000 0.5000 0.5000
Pd1 0.0000 0.0000 0.0000
Pd2 0.2500 0.2500 0.2500
Ni1 0.7500 0.7500 0.7500

=====

2.
Compound: Zn2NiPd
Source: OQMD
Functional: PBE
Structure: optimized geometry

## Properties
- total energy (eV per cell) = -14.254
- crystal system = cubic
- symmetry = No. 216

Cell: 4.2375 4.2375 4.2375 Å, 60.00 60.00 60.00°
Positions (direct):
Pd1 0.5000 0.5000 0.5000
Zn1 0.0000 0.0000 0.0000
Zn2 0.2500 0.2500 0.2500
Ni1 0.7500 0.7500 0.7500

=====

3.
Compound: ZnNiPd
Source: OQMD
Functional: PBE
Structure: optimized geometry

## Properties
- total energy (eV per cell) = -11.899
- E above lowest polymorph (eV/atom) = 0.000
- crystal system = cubic
- symmetry = No. 216

Cell: 4.0268 4.0268 4.0268 Å, 60.00 60.00 60.00°
Positions (direct):
Pd1 0.2500 0.2500 0.2500
Zn1 0.7500 0.7500 0.7500
Ni1 0.0000 0.0000 0.0000

=====

4.
Compound: Zr3Zn3NiPd2
Source: OQMD
Functional: PBE
Structure: optimized geometry

## Properties
- total energy (eV per cell) = -49.898
- crystal system = hexagonal
- symmetry = No. 189

Cell: 7.0698 7.0698 3.5437 Å, 90.00 90.00 120.00°
Positions (direct):
Pd1 0.3333 0.6667 0.5000
Pd2 0.6667 0.3333 0.5000
Zr1 0.6063 0.0000 0.0000
Zr2 0.3937 0.3937 0.0000
Zr3 0.0000 0.6063 0.0000
Zn1 0.2517 0.0000 0.5000
Zn2 0.0000 0.2517 0.5000
Zn3 0.7483 0.7483 0.5000
Ni1 0.0000 0.0000 0.0000